# CdSnTeS2, relaxed, DFT PBE
# Space group = P4/mmm
# Formation energy from raw total energies = 451 meV per atom
# Fermi-level density of states = 3.06 states/eV per cell
data_CdSnTeS2
_cell_length_a 4.866
_cell_length_b 6.463
_cell_length_c 4.866
_cell_angle_alpha 90.00
_cell_angle_beta 90.00
_cell_angle_gamma 90.00
_symmetry_space_group_name_H-M 'P 1'
_symmetry_Int_Tables_number 1
loop_
_symmetry_equiv_pos_as_xyz
'x,y,z'
loop_
_atom_site_label
_atom_site_type_symbol
_atom_site_fract_x
_atom_site_fract_y
_atom_site_fract_z
S1 S 0.000 0.000 0.500
S2 S 0.500 0.000 0.000
Sn1 Sn 0.000 0.000 0.000
Cd1 Cd 0.000 0.500 0.000
Te1 Te 0.500 0.500 0.500